MnZnBr2 (meta-GGA SCAN, PBEsol geometry); raw formation energy = -84 meV/atom; space-group type = Pmmm; V = 21.673 Å³/atom
1.0
3.620 0.000 0.000
0.000 3.949 0.000
0.000 0.000 6.064
Mn Zn Br
1 1 2
direct
0.000 0.000 0.000
0.500 0.000 0.500
0.000 0.500 0.500
0.500 0.500 0.000